{"formula": "Na3AlP3NO9", "functional": "SCAN", "state": "PBEsol geometry", "magmom_total_mub_per_fu": 0.00, "final_energy_ev_per_fu": -159.63, "cell": [[9.310, 0.000, 0.000], [0.000, 9.310, 0.000], [0.000, 0.000, 9.310]], "species": ["Na", "Na", "Na", "Na", "Na", "Na", "Na", "Na", "Na", "Na", "Na", "Na", "Al", "Al", "Al", "Al", "P", "P", "P", "P", "P", "P", "P", "P", "P", "P", "P", "P", "N", "N", "N", "N", "O", "O", "O", "O", "O", "O", "O", "O", "O", "O", "O", "O", "O", "O", "O", "O", "O", "O", "O", "O", "O", "O", "O", "O", "O", "O", "O", "O", "O", "O", "O", "O", "O", "O", "O", "O"], "fractional_positions": [[0.049, 0.451, 0.549], [0.142, 0.642, 0.858], [0.240, 0.760, 0.260], [0.260, 0.240, 0.760], [0.358, 0.358, 0.358], [0.451, 0.549, 0.049], [0.549, 0.049, 0.451], [0.642, 0.858, 0.142], [0.740, 0.740, 0.740], [0.760, 0.260, 0.240], [0.858, 0.142, 0.642], [0.951, 0.951, 0.951], [0.168, 0.168, 0.168], [0.332, 0.832, 0.668], [0.668, 0.332, 0.832], [0.832, 0.668, 0.332], [0.010, 0.829, 0.579], [0.079, 0.490, 0.171], [0.171, 0.079, 0.490], [0.329, 0.921, 0.990], [0.421, 0.510, 0.671], [0.490, 0.171, 0.079], [0.510, 0.671, 0.421], [0.579, 0.010, 0.829], [0.671, 0.421, 0.510], [0.829, 0.579, 0.010], [0.921, 0.990, 0.329], [0.990, 0.329, 0.921], [0.057, 0.943, 0.443], [0.443, 0.057, 0.943], [0.557, 0.557, 0.557], [0.943, 0.443, 0.057], [0.015, 0.595, 0.282], [0.059, 0.412, 0.801], [0.088, 0.199, 0.559], [0.095, 0.218, 0.985], [0.121, 0.350, 0.248], [0.150, 0.752, 0.621], [0.199, 0.559, 0.088], [0.218, 0.985, 0.095], [0.248, 0.121, 0.350], [0.252, 0.879, 0.850], [0.282, 0.015, 0.595], [0.301, 0.441, 0.588], [0.350, 0.248, 0.121], [0.379, 0.650, 0.748], [0.405, 0.782, 0.485], [0.412, 0.801, 0.059], [0.441, 0.588, 0.301], [0.485, 0.405, 0.782], [0.515, 0.905, 0.718], [0.559, 0.088, 0.199], [0.588, 0.301, 0.441], [0.595, 0.282, 0.015], [0.621, 0.150, 0.752], [0.650, 0.748, 0.379], [0.699, 0.941, 0.912], [0.718, 0.515, 0.905], [0.748, 0.379, 0.650], [0.752, 0.621, 0.150], [0.782, 0.485, 0.405], [0.801, 0.059, 0.412], [0.850, 0.252, 0.879], [0.879, 0.850, 0.252], [0.905, 0.718, 0.515], [0.912, 0.699, 0.941], [0.941, 0.912, 0.699], [0.985, 0.095, 0.218]]}



{"formula": "LiMnSb2H", "functional": "SCAN", "state": "PBEsol geometry", "magmom_total_mub_per_fu": 5.01, "final_energy_ev_per_fu": -94.62, "cell": [[4.720, 0.000, 0.000], [0.000, 4.720, 0.000], [0.000, 0.000, 4.467]], "species": ["Li", "Mn", "Sb", "Sb", "H"], "fractional_positions": [[0.000, 0.000, 0.000], [0.000, 0.000, 0.500], [0.000, 0.500, 0.000], [0.500, 0.000, 0.000], [0.500, 0.500, 0.500]]}



{"formula": "Na3YSi6O15", "functional": "SCAN", "state": "PBEsol geometry", "magmom_total_mub_per_fu": 0.00, "final_energy_ev_per_fu": -268.98, "cell": [[7.337, -8.882, 0.000], [7.337, 8.882, 0.000], [0.000, 0.000, 10.571]], "species": ["Na", "Na", "Na", "Na", "Na", "Na", "Na", "Na", "Na", "Na", "Na", "Na", "Y", "Y", "Y", "Y", "Si", "Si", "Si", "Si", "Si", "Si", "Si", "Si", "Si", "Si", "Si", "Si", "Si", "Si", "Si", "Si", "Si", "Si", "Si", "Si", "Si", "Si", "Si", "Si", "O", "O", "O", "O", "O", "O", "O", "O", "O", "O", "O", "O", "O", "O", "O", "O", "O", "O", "O", "O", "O", "O", "O", "O", "O", "O", "O", "O", "O", "O", "O", "O", "O", "O", "O", "O", "O", "O", "O", "O", "O", "O", "O", "O", "O", "O", "O", "O", "O", "O", "O", "O", "O", "O", "O", "O", "O", "O", "O", "O"], "fractional_positions": [[0.029, 0.471, 0.750], [0.071, 0.929, 0.753], [0.237, 0.237, 0.000], [0.263, 0.263, 0.500], [0.429, 0.571, 0.253], [0.471, 0.029, 0.250], [0.529, 0.971, 0.750], [0.571, 0.429, 0.747], [0.737, 0.737, 0.500], [0.763, 0.763, 0.000], [0.929, 0.071, 0.247], [0.971, 0.529, 0.250], [0.159, 0.341, 0.250], [0.341, 0.159, 0.750], [0.659, 0.841, 0.250], [0.841, 0.659, 0.750], [0.027, 0.760, 0.480], [0.029, 0.192, 0.800], [0.084, 0.704, 0.965], [0.192, 0.029, 0.200], [0.204, 0.584, 0.465], [0.240, 0.973, 0.480], [0.260, 0.527, 0.980], [0.296, 0.916, 0.965], [0.308, 0.471, 0.700], [0.416, 0.796, 0.465], [0.471, 0.308, 0.300], [0.473, 0.740, 0.980], [0.527, 0.260, 0.020], [0.529, 0.692, 0.700], [0.584, 0.204, 0.535], [0.692, 0.529, 0.300], [0.704, 0.084, 0.035], [0.740, 0.473, 0.020], [0.760, 0.027, 0.520], [0.796, 0.416, 0.535], [0.808, 0.971, 0.800], [0.916, 0.296, 0.035], [0.971, 0.808, 0.200], [0.973, 0.240, 0.520], [0.003, 0.281, 0.913], [0.012, 0.656, 0.841], [0.017, 0.266, 0.669], [0.072, 0.928, 0.202], [0.080, 0.252, 0.423], [0.106, 0.894, 0.489], [0.114, 0.667, 0.515], [0.153, 0.154, 0.181], [0.154, 0.153, 0.819], [0.156, 0.512, 0.341], [0.164, 0.836, 0.935], [0.167, 0.614, 0.015], [0.219, 0.497, 0.587], [0.234, 0.483, 0.831], [0.248, 0.420, 0.077], [0.252, 0.080, 0.577], [0.266, 0.017, 0.331], [0.281, 0.003, 0.087], [0.333, 0.886, 0.515], [0.336, 0.664, 0.435], [0.344, 0.988, 0.841], [0.346, 0.347, 0.319], [0.347, 0.346, 0.681], [0.386, 0.833, 0.015], [0.394, 0.606, 0.989], [0.420, 0.248, 0.923], [0.428, 0.572, 0.702], [0.483, 0.234, 0.169], [0.488, 0.844, 0.341], [0.497, 0.219, 0.413], [0.503, 0.781, 0.587], [0.512, 0.156, 0.659], [0.517, 0.766, 0.831], [0.572, 0.428, 0.298], [0.580, 0.752, 0.077], [0.606, 0.394, 0.011], [0.614, 0.167, 0.985], [0.653, 0.654, 0.319], [0.654, 0.653, 0.681], [0.656, 0.012, 0.159], [0.664, 0.336, 0.565], [0.667, 0.114, 0.485], [0.719, 0.997, 0.913], [0.734, 0.983, 0.669], [0.748, 0.920, 0.423], [0.752, 0.580, 0.923], [0.766, 0.517, 0.169], [0.781, 0.503, 0.413], [0.833, 0.386, 0.985], [0.836, 0.164, 0.065], [0.844, 0.488, 0.659], [0.846, 0.847, 0.181], [0.847, 0.846, 0.819], [0.886, 0.333, 0.485], [0.894, 0.106, 0.511], [0.920, 0.748, 0.577], [0.928, 0.072, 0.798], [0.983, 0.734, 0.331], [0.988, 0.344, 0.159], [0.997, 0.719, 0.087]]}



{"formula": "LiNiP4O12", "functional": "SCAN", "state": "PBEsol geometry", "magmom_total_mub_per_fu": 3.06, "final_energy_ev_per_fu": -173.99, "cell": [[9.022, 0.000, 0.000], [0.000, 9.290, 0.000], [0.000, 0.000, 10.135]], "species": ["Li", "Li", "Li", "Li", "Ni", "Ni", "Ni", "Ni", "P", "P", "P", "P", "P", "P", "P", "P", "P", "P", "P", "P", "P", "P", "P", "P", "O", "O", "O", "O", "O", "O", "O", "O", "O", "O", "O", "O", "O", "O", "O", "O", "O", "O", "O", "O", "O", "O", "O", "O", "O", "O", "O", "O", "O", "O", "O", "O", "O", "O", "O", "O", "O", "O", "O", "O", "O", "O", "O", "O", "O", "O", "O", "O"], "fractional_positions": [[0.151, 0.247, 0.330], [0.349, 0.753, 0.830], [0.651, 0.253, 0.670], [0.849, 0.747, 0.170], [0.004, 0.735, 0.793], [0.496, 0.265, 0.293], [0.504, 0.765, 0.207], [0.996, 0.235, 0.707], [0.001, 0.515, 0.518], [0.003, 0.938, 0.385], [0.195, 0.953, 0.613], [0.203, 0.463, 0.893], [0.297, 0.537, 0.393], [0.305, 0.047, 0.113], [0.497, 0.062, 0.885], [0.499, 0.485, 0.018], [0.501, 0.985, 0.482], [0.503, 0.562, 0.615], [0.695, 0.547, 0.387], [0.703, 0.037, 0.107], [0.797, 0.963, 0.607], [0.805, 0.453, 0.887], [0.997, 0.438, 0.115], [0.999, 0.015, 0.982], [0.004, 0.341, 0.230], [0.008, 0.617, 0.632], [0.009, 0.356, 0.547], [0.032, 0.094, 0.369], [0.120, 0.873, 0.490], [0.123, 0.557, 0.410], [0.136, 0.053, 0.073], [0.145, 0.106, 0.628], [0.148, 0.361, 0.790], [0.151, 0.415, 0.036], [0.175, 0.622, 0.870], [0.178, 0.854, 0.731], [0.322, 0.146, 0.231], [0.325, 0.378, 0.370], [0.349, 0.585, 0.536], [0.352, 0.639, 0.290], [0.355, 0.894, 0.128], [0.364, 0.947, 0.573], [0.377, 0.443, 0.910], [0.380, 0.127, 0.990], [0.468, 0.906, 0.869], [0.491, 0.644, 0.047], [0.492, 0.383, 0.132], [0.496, 0.659, 0.730], [0.504, 0.159, 0.770], [0.508, 0.883, 0.368], [0.509, 0.144, 0.453], [0.532, 0.406, 0.631], [0.620, 0.627, 0.510], [0.623, 0.943, 0.590], [0.636, 0.447, 0.927], [0.645, 0.394, 0.372], [0.648, 0.139, 0.210], [0.651, 0.085, 0.964], [0.675, 0.878, 0.130], [0.678, 0.646, 0.269], [0.822, 0.354, 0.769], [0.825, 0.122, 0.630], [0.849, 0.915, 0.464], [0.852, 0.861, 0.710], [0.855, 0.606, 0.872], [0.864, 0.553, 0.427], [0.877, 0.057, 0.090], [0.880, 0.373, 0.010], [0.968, 0.594, 0.131], [0.991, 0.856, 0.953], [0.992, 0.117, 0.868], [0.996, 0.841, 0.270]]}



{"formula": "Mg5Sc", "functional": "SCAN", "state": "PBEsol geometry", "magmom_total_mub_per_fu": 0.00, "formation_energy_ev_per_atom": 0.0093, "cell": [[5.153, 0.000, 0.000], [0.000, 1.605, 8.258], [0.000, -1.605, 8.258]], "species": ["Mg", "Mg", "Mg", "Mg", "Mg", "Sc"], "fractional_positions": [[0.000, 0.000, 0.000], [0.000, 0.330, 0.330], [0.000, 0.663, 0.663], [0.500, 0.445, 0.445], [0.500, 0.777, 0.777], [0.500, 0.113, 0.113]]}



{"formula": "Rh2SeCl", "functional": "SCAN", "state": "PBEsol geometry", "magmom_total_mub_per_fu": 0.00, "final_energy_ev_per_fu": -93.08, "cell": [[0.000, 3.131, 3.131], [3.131, 0.000, 3.131], [3.131, 3.131, 0.000]], "species": ["Rh", "Rh", "Se", "Cl"], "fractional_positions": [[0.000, 0.000, 0.000], [0.250, 0.250, 0.250], [0.500, 0.500, 0.500], [0.750, 0.750, 0.750]]}



{"formula": "ScPbO2F", "functional": "SCAN", "state": "PBEsol geometry", "magmom_total_mub_per_fu": 1.10, "final_energy_ev_per_fu": -111.81, "cell": [[4.335, 0.000, 0.000], [0.000, 4.335, 0.000], [0.000, 0.000, 4.420]], "species": ["Sc", "Pb", "O", "O", "F"], "fractional_positions": [[0.000, 0.000, 0.000], [0.500, 0.500, 0.500], [0.000, 0.500, 0.500], [0.500, 0.000, 0.500], [0.500, 0.500, 0.000]]}



{"formula": "TaIn2SbH", "functional": "SCAN", "state": "PBEsol geometry", "magmom_total_mub_per_fu": 0.00, "final_energy_ev_per_fu": -170.98, "cell": [[5.594, 0.000, 0.000], [0.000, 5.594, 0.000], [0.000, 0.000, 3.467]], "species": ["Ta", "In", "In", "Sb", "H"], "fractional_positions": [[0.000, 0.000, 0.000], [0.000, 0.500, 0.000], [0.500, 0.000, 0.000], [0.500, 0.500, 0.500], [0.000, 0.000, 0.500]]}



{"formula": "Y2TlPb", "functional": "SCAN", "state": "PBEsol geometry", "magmom_total_mub_per_fu": 0.00, "formation_energy_ev_per_atom": -0.6454, "cell": [[3.518, 0.000, 0.000], [0.000, 4.215, 0.000], [0.000, 0.000, 7.118]], "species": ["Y", "Y", "Tl", "Pb"], "fractional_positions": [[0.000, 0.000, 0.249], [0.000, 0.000, 0.751], [0.500, 0.500, 0.000], [0.500, 0.500, 0.500]]}



{"formula": "SrLiP2", "functional": "SCAN", "state": "PBEsol geometry", "magmom_total_mub_per_fu": 0.00, "formation_energy_ev_per_atom": -0.4865, "cell": [[4.318, 0.000, 0.000], [0.000, 4.318, 0.000], [0.000, 0.000, 4.169]], "species": ["Sr", "Li", "P", "P"], "fractional_positions": [[0.000, 0.000, 0.000], [0.500, 0.500, 0.000], [0.000, 0.500, 0.500], [0.500, 0.000, 0.500]]}



{"formula": "Ba2ZrMoH", "functional": "SCAN", "state": "PBEsol geometry", "magmom_total_mub_per_fu": 2.69, "final_energy_ev_per_fu": -142.34, "cell": [[6.250, 0.000, 0.000], [0.000, 6.250, 0.000], [0.000, 0.000, 3.680]], "species": ["Ba", "Ba", "Zr", "Mo", "H"], "fractional_positions": [[0.000, 0.500, 0.000], [0.500, 0.000, 0.000], [0.000, 0.000, 0.000], [0.500, 0.500, 0.500], [0.000, 0.000, 0.500]]}



{"formula": "Hf2Be2Pd", "functional": "SCAN", "state": "PBEsol geometry", "magmom_total_mub_per_fu": 0.00, "formation_energy_ev_per_atom": -0.4763, "cell": [[6.293, 0.000, 0.000], [0.000, 6.293, 0.000], [0.000, 0.000, 3.642]], "species": ["Hf", "Hf", "Hf", "Hf", "Be", "Be", "Be", "Be", "Pd", "Pd"], "fractional_positions": [[0.172, 0.328, 0.000], [0.328, 0.828, 0.000], [0.672, 0.172, 0.000], [0.828, 0.672, 0.000], [0.123, 0.623, 0.500], [0.377, 0.123, 0.500], [0.623, 0.877, 0.500], [0.877, 0.377, 0.500], [0.000, 0.000, 0.500], [0.500, 0.500, 0.500]]}



- Number 9 is which compound?
  Y2TlPb



- Which formula does entry 5 have?
  Mg5Sc